Entry 1:
Compound: Ti3HBr7
Source: the Alexandria database
Functional: PBE
Structure: optimized geometry

The structure in POSCAR format:
```
Ti3HBr7
1.0
7.077 0.000 0.000
-3.538 6.129 0.000
0.000 0.000 6.762
Ti H Br
3 1 7
Direct
0.191 0.383 0.000 Ti
0.191 0.809 0.000 Ti
0.617 0.809 0.000 Ti
0.333 0.667 0.140 H
0.000 0.000 0.791 Br
0.000 0.500 0.757 Br
0.335 0.167 0.213 Br
0.500 0.000 0.757 Br
0.500 0.500 0.757 Br
0.833 0.167 0.213 Br
0.833 0.665 0.213 Br
```

Calculated values
* crystal system: trigonal
* electronic total energy: -0.1667 Ha/atom
* DOS at the Fermi energy: 0.4 states/eV/f.u.
* size of the total moment: 1.93 μB per formula unit

=====

Entry 2:
Compound: TiHBr2
Source: the Alexandria database
Functional: PBE
Structure: optimized geometry

The structure in POSCAR format:
```
TiHBr2
1.0
3.000 -1.732 0.000
3.000 1.732 0.000
-1.938 0.000 7.434
Ti H Br
1 1 2
Direct
0.000 0.000 0.000 Ti
0.333 0.333 0.000 H
0.586 0.586 0.751 Br
0.747 0.747 0.249 Br
```

Calculated values
* crystal system: monoclinic
* electronic total energy: -0.1621 Ha/atom
* DOS at the Fermi energy: 2.8 states/eV/f.u.
* size of the total moment: 1.00 μB per formula unit

=====

Entry 3:
Compound: Ti2HBr
Source: the Alexandria database
Functional: PBE
Structure: optimized geometry

The structure in POSCAR format:
```
Ti2HBr
1.0
-2.563 2.563 4.816
2.563 -2.563 4.816
2.563 2.563 -4.816
Ti H Br
4 2 2
Direct
0.025 0.625 0.900 Ti
0.375 0.275 0.400 Ti
0.725 0.125 0.100 Ti
0.875 0.975 0.600 Ti
0.000 0.000 0.000 H
0.750 0.250 0.500 H
0.250 0.750 0.500 Br
0.500 0.500 0.000 Br
```

Calculated values
* crystal system: tetragonal
* DOS at the Fermi energy: 4.1 states/eV/f.u.
* size of the total moment: 0.00 μB per formula unit
* ΔE to the lowest computed polymorph: 0.367 eV per atom

=====

Entry 4:
Compound: Ti2HBr
Source: the Alexandria database
Functional: PBE
Structure: optimized geometry

The structure in POSCAR format:
```
Ti2HBr
1.0
3.253 0.000 0.000
0.000 4.370 0.000
-0.863 0.000 9.747
Ti H Br
4 2 2
Direct
0.161 0.000 0.201 Ti
0.322 0.952 0.934 Ti
0.678 0.452 0.066 Ti
0.839 0.500 0.799 Ti
0.187 0.682 0.080 H
0.813 0.182 0.920 H
0.292 0.827 0.653 Br
0.708 0.327 0.347 Br
```

Calculated values
* crystal system: monoclinic
* DOS at the Fermi energy: 3.5 states/eV/f.u.
* size of the total moment: 0.72 μB per formula unit
* ΔE to the lowest computed polymorph: 0.000 eV per atom

=====

Entry 5:
Compound: TiH2WBr
Source: the Alexandria database
Functional: PBE
Structure: optimized geometry

The structure in POSCAR format:
```
TiH2WBr
1.0
3.586 0.000 0.000
0.000 3.586 0.000
0.000 0.000 5.028
Ti H W Br
1 2 1 1
Direct
0.000 0.000 0.000 Ti
0.000 0.500 0.500 H
0.500 0.000 0.500 H
0.500 0.500 0.500 W
0.500 0.500 0.000 Br
```

Calculated values
* crystal system: tetragonal
* electronic total energy: -0.1898 Ha/atom
* DOS at the Fermi energy: 4.1 states/eV/f.u.
* size of the total moment: 0.00 μB per formula unit

=====

Entry 6:
Compound: TlHBr2
Source: the Alexandria database
Functional: PBE
Structure: optimized geometry

The structure in POSCAR format:
```
TlHBr2
1.0
-3.442 3.442 4.315
3.442 -3.442 4.315
3.442 3.442 -4.315
Tl H Br
2 2 4
Direct
0.000 0.000 0.000 Tl
0.750 0.250 0.500 Tl
0.250 0.750 0.500 H
0.500 0.500 0.000 H
0.259 0.625 0.134 Br
0.375 0.509 0.634 Br
0.491 0.125 0.866 Br
0.875 0.741 0.366 Br
```

Calculated values
* crystal system: tetragonal
* DOS at the Fermi energy: 0.0 states/eV/f.u.
* size of the total moment: 0.00 μB per formula unit
* ΔE to the lowest computed polymorph: 0.391 eV per atom

=====

Entry 7:
Compound: Tl3HBr
Source: the Alexandria database
Functional: PBE
Structure: optimized geometry

The structure in POSCAR format:
```
Tl3HBr
1.0
5.159 0.000 0.000
0.000 5.159 0.000
0.000 0.000 5.159
Tl H Br
3 1 1
Direct
0.000 0.000 0.500 Tl
0.000 0.500 0.000 Tl
0.500 0.000 0.000 Tl
0.000 0.000 0.000 H
0.500 0.500 0.500 Br
```

Calculated values
* crystal system: cubic
* electronic total energy: -0.0907 Ha/atom
* DOS at the Fermi energy: 3.6 states/eV/f.u.
* size of the total moment: 0.00 μB per formula unit

=====

Entry 8:
Compound: Tl4H3Br4
Source: the Alexandria database
Functional: PBE
Structure: optimized geometry

The structure in POSCAR format:
```
Tl4H3Br4
1.0
13.205 0.000 0.000
0.000 3.344 3.531
0.000 -3.344 3.531
Tl H Br
4 3 4
Direct
0.000 0.000 0.000 Tl
0.246 0.429 0.429 Tl
0.500 0.774 0.774 Tl
0.754 0.429 0.429 Tl
0.231 0.146 0.146 H
0.500 0.061 0.061 H
0.769 0.146 0.146 H
0.000 0.479 0.479 Br
0.248 0.866 0.866 Br
0.500 0.326 0.326 Br
0.752 0.866 0.866 Br
```

Calculated values
* crystal system: orthorhombic
* electronic total energy: -0.0934 Ha/atom
* DOS at the Fermi energy: 1.6 states/eV/f.u.
* size of the total moment: 0.00 μB per formula unit

=====

Entry 9:
Compound: TlH2Br4
Source: the Alexandria database
Functional: PBE
Structure: optimized geometry

The structure in POSCAR format:
```
TlH2Br4
1.0
4.179 0.000 0.000
1.323 7.249 0.000
0.646 0.253 7.773
Tl H Br
1 2 4
Direct
0.000 0.000 0.000 Tl
0.233 0.167 0.309 H
0.767 0.833 0.691 H
0.002 0.667 0.731 Br
0.487 0.140 0.754 Br
0.513 0.860 0.246 Br
0.998 0.333 0.269 Br
```

Calculated values
* crystal system: triclinic
* electronic total energy: -0.0942 Ha/atom
* DOS at the Fermi energy: 5.0 states/eV/f.u.
* size of the total moment: 0.00 μB per formula unit

=====

Entry 10:
Compound: TlHBr2
Source: the Alexandria database
Functional: PBE
Structure: optimized geometry

The structure in POSCAR format:
```
TlHBr2
1.0
5.590 -3.749 0.000
5.590 3.749 0.000
-5.035 0.000 5.565
Tl H Br
2 2 4
Direct
0.249 0.751 0.750 Tl
0.751 0.249 0.250 Tl
0.000 0.500 0.000 H
0.500 0.000 0.500 H
0.163 0.339 0.162 Br
0.339 0.163 0.662 Br
0.661 0.837 0.338 Br
0.837 0.661 0.838 Br
```

Calculated values
* crystal system: monoclinic
* DOS at the Fermi energy: 0.0 states/eV/f.u.
* size of the total moment: 0.00 μB per formula unit
* ΔE to the lowest computed polymorph: 0.000 eV per atom

=====

Entry 11:
Compound: TlHBr
Source: the Alexandria database
Functional: PBE
Structure: optimized geometry

The structure in POSCAR format:
```
TlHBr
1.0
6.554 -1.847 0.000
6.554 1.847 0.000
-1.433 0.000 6.406
Tl H Br
2 2 2
Direct
0.133 0.133 0.034 Tl
0.867 0.867 0.966 Tl
0.386 0.386 0.647 H
0.614 0.614 0.353 H
0.360 0.360 0.410 Br
0.640 0.640 0.590 Br
```

Calculated values
* crystal system: monoclinic
* DOS at the Fermi energy: 0.7 states/eV/f.u.
* size of the total moment: 0.00 μB per formula unit
* ΔE to the lowest computed polymorph: 0.603 eV per atom

=====

Entry 12:
Compound: Tl4H4Br3
Source: the Alexandria database
Functional: PBE
Structure: optimized geometry

The structure in POSCAR format:
```
Tl4H4Br3
1.0
5.472 0.000 0.000
-0.001 6.606 0.000
-2.726 -3.301 7.626
Tl H Br
4 4 3
Direct
0.000 0.239 0.000 Tl
0.000 0.761 0.000 Tl
0.283 0.284 0.568 Tl
0.717 0.716 0.432 Tl
0.110 0.393 0.221 H
0.110 0.829 0.221 H
0.890 0.171 0.779 H
0.890 0.607 0.779 H
0.331 0.830 0.660 Br
0.500 0.500 0.000 Br
0.669 0.170 0.340 Br
```

Calculated values
* crystal system: triclinic
* electronic total energy: -0.0958 Ha/atom
* DOS at the Fermi energy: 1.8 states/eV/f.u.
* size of the total moment: 0.00 μB per formula unit

=====

Entry 13:
Compound: Tl2H5Br4
Source: the Alexandria database
Functional: PBE
Structure: optimized geometry

The structure in POSCAR format:
```
Tl2H5Br4
1.0
2.909 -4.706 0.000
2.909 4.706 0.000
-0.424 0.000 11.699
Tl H Br
2 5 4
Direct
0.034 0.034 0.234 Tl
0.966 0.966 0.766 Tl
0.147 0.791 0.759 H
0.209 0.853 0.241 H
0.500 0.500 0.500 H
0.791 0.147 0.759 H
0.853 0.209 0.241 H
0.255 0.255 0.999 Br
0.466 0.466 0.645 Br
0.534 0.534 0.355 Br
0.745 0.745 0.001 Br
```

Calculated values
* crystal system: monoclinic
* electronic total energy: -0.0951 Ha/atom
* DOS at the Fermi energy: 1.5 states/eV/f.u.
* size of the total moment: 0.00 μB per formula unit

=====

Entry 14:
Compound: TlHBr4
Source: the Alexandria database
Functional: PBE
Structure: optimized geometry

The structure in POSCAR format:
```
TlHBr4
1.0
3.181 -9.590 0.000
3.181 9.590 0.000
-0.832 0.000 7.061
Tl H Br
2 2 8
Direct
0.055 0.945 0.750 Tl
0.945 0.055 0.250 Tl
0.348 0.652 0.250 H
0.652 0.348 0.750 H
0.101 0.417 0.114 Br
0.193 0.298 0.597 Br
0.298 0.193 0.097 Br
0.417 0.101 0.614 Br
0.583 0.899 0.386 Br
0.702 0.807 0.903 Br
0.807 0.702 0.403 Br
0.899 0.583 0.886 Br
```

Calculated values
* crystal system: monoclinic
* electronic total energy: -0.0893 Ha/atom
* size of the total moment: 0.00 μB per formula unit

=====

Entry 15:
Compound: Tl2H3Br
Source: the Alexandria database
Functional: PBE
Structure: optimized geometry

The structure in POSCAR format:
```
Tl2H3Br
1.0
5.481 -3.640 0.000
5.481 3.640 0.000
-5.437 0.000 17.029
Tl H Br
8 12 4
Direct
0.003 0.253 0.005 Tl
0.246 0.496 0.493 Tl
0.253 0.003 0.505 Tl
0.496 0.246 0.993 Tl
0.504 0.754 0.007 Tl
0.747 0.997 0.495 Tl
0.754 0.504 0.507 Tl
0.997 0.747 0.995 Tl
0.186 0.791 0.728 H
0.198 0.449 0.751 H
0.209 0.814 0.772 H
0.436 0.542 0.228 H
0.449 0.198 0.251 H
0.458 0.564 0.272 H
0.542 0.436 0.728 H
0.551 0.802 0.749 H
0.564 0.458 0.772 H
0.791 0.186 0.228 H
0.802 0.551 0.249 H
0.814 0.209 0.272 H
0.068 0.316 0.749 Br
0.316 0.068 0.249 Br
0.684 0.932 0.751 Br
0.932 0.684 0.251 Br
```

Calculated values
* crystal system: monoclinic
* electronic total energy: -0.0988 Ha/atom
* DOS at the Fermi energy: 1.4 states/eV/f.u.
* size of the total moment: 0.00 μB per formula unit

=====

Entry 16:
Compound: TlHBr3
Source: the Alexandria database
Functional: PBE
Structure: optimized geometry

The structure in POSCAR format:
```
TlHBr3
1.0
4.961 0.000 0.000
0.000 4.961 0.000
0.000 0.000 4.961
Tl H Br
1 1 3
Direct
0.000 0.000 0.000 Tl
0.500 0.500 0.500 H
0.000 0.500 0.500 Br
0.500 0.000 0.500 Br
0.500 0.500 0.000 Br
```

Calculated values
* crystal system: cubic
* DOS at the Fermi energy: 6.2 states/eV/f.u.
* size of the total moment: 0.99 μB per formula unit
* ΔE to the lowest computed polymorph: 0.326 eV per atom

=====

Entry 17:
Compound: Tl3H4Br4
Source: the Alexandria database
Functional: PBE
Structure: optimized geometry

The structure in POSCAR format:
```
Tl3H4Br4
1.0
-1.954 4.445 8.208
1.954 -4.445 8.208
1.954 4.445 -8.208
Tl H Br
3 4 4
Direct
0.000 0.000 0.000 Tl
0.333 0.833 0.500 Tl
0.667 0.167 0.500 Tl
0.215 0.394 0.821 H
0.427 0.606 0.821 H
0.573 0.394 0.179 H
0.785 0.606 0.179 H
0.193 0.193 0.000 Br
0.311 0.500 0.811 Br
0.689 0.500 0.189 Br
0.807 0.807 0.000 Br
```

Calculated values
* crystal system: orthorhombic
* electronic total energy: -0.0903 Ha/atom
* DOS at the Fermi energy: 3.1 states/eV/f.u.
* size of the total moment: 0.00 μB per formula unit

=====

Entry 18:
Compound: TlHBr3
Source: the Alexandria database
Functional: PBE
Structure: optimized geometry

The structure in POSCAR format:
```
TlHBr3
1.0
8.158 -1.602 0.000
8.158 1.602 0.000
-1.188 0.000 13.081
Tl H Br
2 2 6
Direct
0.210 0.210 0.156 Tl
0.790 0.790 0.844 Tl
0.370 0.370 0.396 H
0.630 0.630 0.604 H
0.058 0.058 0.285 Br
0.166 0.166 0.600 Br
0.376 0.376 0.029 Br
0.624 0.624 0.971 Br
0.834 0.834 0.400 Br
0.942 0.942 0.715 Br
```

Calculated values
* crystal system: monoclinic
* DOS at the Fermi energy: 3.1 states/eV/f.u.
* size of the total moment: 0.38 μB per formula unit
* ΔE to the lowest computed polymorph: 0.000 eV per atom

=====

Entry 19:
Compound: TlHBr2
Source: the Alexandria database
Functional: PBE
Structure: optimized geometry

The structure in POSCAR format:
```
TlHBr2
1.0
1.781 1.028 8.815
-1.781 1.028 8.815
0.000 -2.056 8.815
Tl H Br
1 1 2
Direct
0.000 0.000 0.000 Tl
0.500 0.500 0.500 H
0.115 0.115 0.115 Br
0.885 0.885 0.885 Br
```

Calculated values
* crystal system: trigonal
* DOS at the Fermi energy: 2.1 states/eV/f.u.
* size of the total moment: 0.00 μB per formula unit
* ΔE to the lowest computed polymorph: 0.921 eV per atom

=====

Entry 20:
Compound: TlH4Br
Source: the Alexandria database
Functional: PBE
Structure: optimized geometry

The structure in POSCAR format:
```
TlH4Br
1.0
4.550 0.000 0.000
-0.001 4.607 0.000
-2.220 -2.272 5.461
Tl H Br
1 4 1
Direct
0.000 0.000 0.000 Tl
0.232 0.730 0.465 H
0.282 0.891 0.565 H
0.718 0.109 0.435 H
0.768 0.270 0.535 H
0.500 0.500 0.000 Br
```

Calculated values
* crystal system: triclinic
* electronic total energy: -0.1165 Ha/atom
* DOS at the Fermi energy: 0.0 states/eV/f.u.
* size of the total moment: 0.00 μB per formula unit